# Li2Dy2Pd3, optimized geometry, DFT GGA-PBE
# energy of formation from the pure elements = -630 meV per atom
# total magnetic moment = 0.0 μB/cell
# density of states at the Fermi level = 5.7 states/eV/cell
# space group = C2/m (12)
data_Li2Dy2Pd3
_space_group_name_H-M_alt 'P 1'
_space_group_IT_number 1
_cell_length_a 8.395
_cell_length_b 4.817
_cell_length_c 7.527
_cell_angle_alpha 90.00
_cell_angle_beta 111.53
_cell_angle_gamma 90.00
loop_
_space_group_symop_operation_xyz
'x,y,z'
loop_
_atom_site_label
_atom_site_fract_x
_atom_site_fract_y
_atom_site_fract_z
Li1 0.132 0.000 0.397
Li2 0.368 0.500 0.603
Li3 0.632 0.500 0.397
Li4 0.868 0.000 0.603
Dy1 0.111 0.500 0.831
Dy2 0.389 0.000 0.169
Dy3 0.611 0.000 0.831
Dy4 0.889 0.500 0.169
Pd1 0.000 0.000 0.000
Pd2 0.243 0.500 0.235
Pd3 0.257 0.000 0.765
Pd4 0.500 0.500 0.000
Pd5 0.743 0.000 0.235
Pd6 0.757 0.500 0.765

# LiDy2Pd9, optimized geometry, DFT GGA-PBE
# energy of formation from the pure elements = -658 meV per atom
# total magnetic moment = 0.0 μB/cell
# density of states at the Fermi level = 10.2 states/eV/cell
# space group = P4/mmm (123)
data_LiDy2Pd9
_space_group_name_H-M_alt 'P 1'
_space_group_IT_number 1
_cell_length_a 4.118
_cell_length_b 4.118
_cell_length_c 11.781
_cell_angle_alpha 90.00
_cell_angle_beta 90.00
_cell_angle_gamma 90.00
loop_
_space_group_symop_operation_xyz
'x,y,z'
loop_
_atom_site_label
_atom_site_fract_x
_atom_site_fract_y
_atom_site_fract_z
Li1 0.000 0.000 0.000
Dy1 0.000 0.000 0.325
Dy2 0.000 0.000 0.675
Pd1 0.000 0.500 0.153
Pd2 0.000 0.500 0.500
Pd3 0.000 0.500 0.847
Pd4 0.500 0.000 0.153
Pd5 0.500 0.000 0.500
Pd6 0.500 0.000 0.847
Pd7 0.500 0.500 0.000
Pd8 0.500 0.500 0.326
Pd9 0.500 0.500 0.674

# LiDy2Pd3, optimized geometry, DFT GGA-PBE
# energy of formation from the pure elements = -759 meV per atom
# total magnetic moment = 0.0 μB/cell
# density of states at the Fermi level = 5.1 states/eV/cell
# distance to the lowest polymorph of the same formula = 14 meV/atom
# space group = P-3m1 (164)
data_LiDy2Pd3
_space_group_name_H-M_alt 'P 1'
_space_group_IT_number 1
_cell_length_a 4.839
_cell_length_b 4.839
_cell_length_c 11.570
_cell_angle_alpha 90.00
_cell_angle_beta 90.00
_cell_angle_gamma 120.00
loop_
_space_group_symop_operation_xyz
'x,y,z'
loop_
_atom_site_label
_atom_site_fract_x
_atom_site_fract_y
_atom_site_fract_z
Li1 0.333 0.667 0.166
Li2 0.667 0.333 0.834
Dy1 0.000 0.000 0.000
Dy2 0.000 0.000 0.500
Dy3 0.333 0.667 0.685
Dy4 0.667 0.333 0.315
Pd1 0.000 0.000 0.249
Pd2 0.000 0.000 0.751
Pd3 0.333 0.667 0.416
Pd4 0.333 0.667 0.930
Pd5 0.667 0.333 0.070
Pd6 0.667 0.333 0.584

# LiPmDy2Pd4, optimized geometry, DFT GGA-PBE
# energy of formation from the pure elements = -752 meV per atom
# total magnetic moment = 0.0 μB/cell
# density of states at the Fermi level = 4.2 states/eV/cell
# space group = R-3m (166)
data_LiPmDy2Pd4
_space_group_name_H-M_alt 'P 1'
_space_group_IT_number 1
_cell_length_a 8.434
_cell_length_b 8.434
_cell_length_c 8.434
_cell_angle_alpha 33.74
_cell_angle_beta 33.74
_cell_angle_gamma 33.74
loop_
_space_group_symop_operation_xyz
'x,y,z'
loop_
_atom_site_label
_atom_site_fract_x
_atom_site_fract_y
_atom_site_fract_z
Li1 0.000 0.000 0.000
Pm1 0.500 0.500 0.500
Dy1 0.259 0.259 0.259
Dy2 0.741 0.741 0.741
Pd1 0.120 0.120 0.120
Pd2 0.378 0.378 0.378
Pd3 0.622 0.622 0.622
Pd4 0.880 0.880 0.880

# LiPrDyPd, optimized geometry, DFT GGA-PBE
# energy of formation from the pure elements = -347 meV per atom
# total magnetic moment = 0.0 μB/cell
# density of states at the Fermi level = 11.6 states/eV/cell
# space group = F-43m (216)
data_LiPrDyPd
_space_group_name_H-M_alt 'P 1'
_space_group_IT_number 1
_cell_length_a 7.261
_cell_length_b 7.261
_cell_length_c 7.261
_cell_angle_alpha 90.00
_cell_angle_beta 90.00
_cell_angle_gamma 90.00
loop_
_space_group_symop_operation_xyz
'x,y,z'
loop_
_atom_site_label
_atom_site_fract_x
_atom_site_fract_y
_atom_site_fract_z
Li1 0.000 0.000 0.000
Li2 0.000 0.500 0.500
Li3 0.500 0.000 0.500
Li4 0.500 0.500 0.000
Pr1 0.250 0.250 0.750
Pr2 0.250 0.750 0.250
Pr3 0.750 0.250 0.250
Pr4 0.750 0.750 0.750
Dy1 0.250 0.250 0.250
Dy2 0.250 0.750 0.750
Dy3 0.750 0.250 0.750
Dy4 0.750 0.750 0.250
Pd1 0.000 0.000 0.500
Pd2 0.000 0.500 0.000
Pd3 0.500 0.000 0.000
Pd4 0.500 0.500 0.500

# LiDyPdPt, optimized geometry, DFT GGA-PBE
# energy of formation from the pure elements = -840 meV per atom
# total magnetic moment = 0.0 μB/cell
# density of states at the Fermi level = 0.8 states/eV/cell
# space group = F-43m (216)
data_LiDyPdPt
_space_group_name_H-M_alt 'P 1'
_space_group_IT_number 1
_cell_length_a 6.621
_cell_length_b 6.621
_cell_length_c 6.621
_cell_angle_alpha 90.00
_cell_angle_beta 90.00
_cell_angle_gamma 90.00
loop_
_space_group_symop_operation_xyz
'x,y,z'
loop_
_atom_site_label
_atom_site_fract_x
_atom_site_fract_y
_atom_site_fract_z
Li1 0.000 0.000 0.000
Li2 0.000 0.500 0.500
Li3 0.500 0.000 0.500
Li4 0.500 0.500 0.000
Dy1 0.000 0.000 0.500
Dy2 0.000 0.500 0.000
Dy3 0.500 0.000 0.000
Dy4 0.500 0.500 0.500
Pd1 0.250 0.250 0.750
Pd2 0.250 0.750 0.250
Pd3 0.750 0.250 0.250
Pd4 0.750 0.750 0.750
Pt1 0.250 0.250 0.250
Pt2 0.250 0.750 0.750
Pt3 0.750 0.250 0.750
Pt4 0.750 0.750 0.250

# LiDyPdRu, optimized geometry, DFT GGA-PBE
# energy of formation from the pure elements = -246 meV per atom
# total magnetic moment = 0.0 μB/cell
# density of states at the Fermi level = 7.4 states/eV/cell
# space group = F-43m (216)
data_LiDyPdRu
_space_group_name_H-M_alt 'P 1'
_space_group_IT_number 1
_cell_length_a 6.473
_cell_length_b 6.473
_cell_length_c 6.473
_cell_angle_alpha 90.00
_cell_angle_beta 90.00
_cell_angle_gamma 90.00
loop_
_space_group_symop_operation_xyz
'x,y,z'
loop_
_atom_site_label
_atom_site_fract_x
_atom_site_fract_y
_atom_site_fract_z
Li1 0.000 0.000 0.000
Li2 0.000 0.500 0.500
Li3 0.500 0.000 0.500
Li4 0.500 0.500 0.000
Dy1 0.000 0.000 0.500
Dy2 0.000 0.500 0.000
Dy3 0.500 0.000 0.000
Dy4 0.500 0.500 0.500
Pd1 0.250 0.250 0.750
Pd2 0.250 0.750 0.250
Pd3 0.750 0.250 0.250
Pd4 0.750 0.750 0.750
Ru1 0.250 0.250 0.250
Ru2 0.250 0.750 0.750
Ru3 0.750 0.250 0.750
Ru4 0.750 0.750 0.250

# LiDySb2Pd4, optimized geometry, DFT GGA-PBE
# total magnetic moment = 0.0 μB/cell
# density of states at the Fermi level = 4.2 states/eV/cell
# ΔE_f (raw) = -0.71 eV/atom
# space group = R-3m (166)
data_LiDySb2Pd4
_space_group_name_H-M_alt 'P 1'
_space_group_IT_number 1
_cell_length_a 8.350
_cell_length_b 8.350
_cell_length_c 8.350
_cell_angle_alpha 32.02
_cell_angle_beta 32.02
_cell_angle_gamma 32.02
loop_
_space_group_symop_operation_xyz
'x,y,z'
loop_
_atom_site_label
_atom_site_fract_x
_atom_site_fract_y
_atom_site_fract_z
Li1 0.000 0.000 0.000
Dy1 0.500 0.500 0.500
Sb1 0.254 0.254 0.254
Sb2 0.746 0.746 0.746
Pd1 0.110 0.110 0.110
Pd2 0.371 0.371 0.371
Pd3 0.629 0.629 0.629
Pd4 0.890 0.890 0.890

Q: Which value of total magnetic moment does entry 3 give?
A: 0.0 μB/cell